1.
The following is a DFT calculation (PBE-GGA) of a relaxed Zr6BiS crystal.

Results
mass density = 7.28 g cm⁻³
space group = P-1
E_form (uncorrected) = -375 meV/atom
Fermi-level density of states = 8.8 states/eV/f.u.
total moment = 0.0 μB/f.u.
DFT total energy = -7.79 eV/atom

Cell lengths 5.5218, 5.8874, 5.8940 Å; angles 102.02, 100.17, 100.37 degrees
Fractional positions:
Zr  0.1041  0.2254  0.2261
Zr  0.2598  0.4243  0.8167
Zr  0.2598  0.8161  0.4255
Zr  0.7402  0.1839  0.5745
Zr  0.7402  0.5757  0.1833
Zr  0.8959  0.7746  0.7739
Bi  0.5000  0.0000  0.0000
S  0.5000  0.5000  0.5000

2.
The following is a DFT calculation (PBE-GGA) of a relaxed ZrBiS3 crystal.

Results
mass density = 4.89 g cm⁻³
space group = Pm-3m
E_form (uncorrected) = 447 meV/atom
Fermi-level density of states = 3.2 states/eV/f.u.
total moment = 1.2 μB/f.u.
DFT total energy = -4.52 eV/atom

Cell lengths 5.1260, 5.1260, 5.1260 Å; angles 90.00, 90.00, 90.00 degrees
Fractional positions:
Zr  0.0000  0.0000  0.0000
Bi  0.5000  0.5000  0.5000
S  0.0000  0.5000  0.5000
S  0.5000  0.0000  0.5000
S  0.5000  0.5000  0.0000

3.
The following is a DFT calculation (PBE-GGA) of a relaxed ZrBiS2 crystal.

Results
mass density = 6.14 g cm⁻³
space group = R-3m
E_form (uncorrected) = -1059 meV/atom
Fermi-level density of states = 1.9 states/eV/f.u.
total moment = 0.0 μB/f.u.
DFT total energy = -6.23 eV/atom

Cell lengths 3.5804, 3.5804, 26.6087 Å; angles 90.00, 90.00, 120.00 degrees
Fractional positions:
Zr  0.0000  0.0000  0.0000
Zr  0.3333  0.6667  0.6667
Zr  0.6667  0.3333  0.3333
Bi  0.0000  0.0000  0.5000
Bi  0.3333  0.6667  0.1667
Bi  0.6667  0.3333  0.8333
S  0.0000  0.0000  0.3920
S  0.0000  0.0000  0.6080
S  0.3333  0.6667  0.0586
S  0.3333  0.6667  0.2747
S  0.6667  0.3333  0.7253
S  0.6667  0.3333  0.9414

4.
The following is a DFT calculation (PBE-GGA) of a relaxed ZrBiS3 crystal.

Results
mass density = 4.36 g cm⁻³
space group = Cmc2_1
E_form (uncorrected) = -721 meV/atom
Fermi-level density of states = 2.5 states/eV/f.u.
total moment = 0.0 μB/f.u.
DFT total energy = -5.68 eV/atom

Cell lengths 10.8256, 10.8256, 7.2026 Å; angles 90.00, 90.00, 159.03 degrees
Fractional positions:
Zr  0.1170  0.8830  0.5000
Zr  0.8830  0.1170  0.0000
Bi  0.3301  0.6699  0.5732
Bi  0.6699  0.3301  0.0732
S  0.1184  0.8816  0.8341
S  0.2222  0.7778  0.3580
S  0.4351  0.5649  0.8654
S  0.5649  0.4351  0.3654
S  0.7778  0.2222  0.8580
S  0.8816  0.1184  0.3341

5.
The following is a DFT calculation (PBE-GGA) of a relaxed Zr4BiS crystal.

Results
mass density = 7.75 g cm⁻³
space group = C2/c
E_form (uncorrected) = -521 meV/atom
Fermi-level density of states = 4.8 states/eV/f.u.
total moment = 0.0 μB/f.u.
DFT total energy = -7.55 eV/atom

Cell lengths 7.2946, 7.2946, 5.7297 Å; angles 101.56, 101.56, 113.69 degrees
Fractional positions:
Zr  0.0790  0.7224  0.9326
Zr  0.1932  0.3690  0.6354
Zr  0.2776  0.9210  0.5674
Zr  0.3690  0.1932  0.1354
Zr  0.6310  0.8068  0.8646
Zr  0.7224  0.0790  0.4326
Zr  0.8068  0.6310  0.3646
Zr  0.9210  0.2776  0.0674
Bi  0.3818  0.6182  0.2500
Bi  0.6182  0.3818  0.7500
S  0.0130  0.9870  0.2500
S  0.9870  0.0130  0.7500

6.
The following is a DFT calculation (PBE-GGA) of a relaxed ZrBiS crystal.

Results
mass density = 7.65 g cm⁻³
space group = Fmmm
E_form (uncorrected) = -798 meV/atom
Fermi-level density of states = 0.6 states/eV/f.u.
total moment = 0.0 μB/f.u.
DFT total energy = -6.32 eV/atom

Cell lengths 6.9996, 6.4542, 5.1469 Å; angles 73.25, 62.00, 44.76 degrees
Fractional positions:
Zr  0.2500  0.2500  0.2500
Zr  0.7500  0.7500  0.7500
Bi  0.1798  0.8202  0.1798
Bi  0.8202  0.1798  0.8202
S  0.3118  0.3118  0.6882
S  0.6882  0.6882  0.3118

7.
The following is a DFT calculation (PBE-GGA) of a relaxed ZrBiS2 crystal.

Results
mass density = 5.10 g cm⁻³
space group = I-42d
E_form (uncorrected) = -445 meV/atom
Fermi-level density of states = 4.7 states/eV/f.u.
total moment = 0.0 μB/f.u.
DFT total energy = -5.62 eV/atom

Cell lengths 6.5643, 6.5643, 11.0094 Å; angles 90.00, 90.00, 90.00 degrees
Fractional positions:
Zr  0.0000  0.0000  0.0000
Zr  0.0000  0.5000  0.2500
Zr  0.5000  0.0000  0.7500
Zr  0.5000  0.5000  0.5000
Bi  0.0000  0.0000  0.5000
Bi  0.0000  0.5000  0.7500
Bi  0.5000  0.0000  0.2500
Bi  0.5000  0.5000  0.0000
S  0.1816  0.2500  0.1250
S  0.2500  0.6816  0.3750
S  0.2500  0.8184  0.8750
S  0.3184  0.2500  0.6250
S  0.6816  0.7500  0.6250
S  0.7500  0.1816  0.8750
S  0.7500  0.3184  0.3750
S  0.8184  0.7500  0.1250

8.
The following is a DFT calculation (PBE-GGA) of a relaxed ZrBi2S6 crystal.

Results
mass density = 4.81 g cm⁻³
space group = P4_2/mnm
E_form (uncorrected) = -428 meV/atom
Fermi-level density of states = 8.9 states/eV/f.u.
total moment = 0.0 μB/f.u.
DFT total energy = -4.99 eV/atom

Cell lengths 6.2839, 6.2839, 12.2605 Å; angles 90.00, 90.00, 90.00 degrees
Fractional positions:
Zr  0.0000  0.0000  0.0000
Zr  0.5000  0.5000  0.5000
Bi  0.0000  0.0000  0.3336
Bi  0.0000  0.0000  0.6664
Bi  0.5000  0.5000  0.1664
Bi  0.5000  0.5000  0.8336
S  0.1891  0.1891  0.1551
S  0.1891  0.1891  0.8449
S  0.2071  0.2071  0.5000
S  0.2929  0.7071  0.0000
S  0.3109  0.6891  0.3449
S  0.3109  0.6891  0.6551
S  0.6891  0.3109  0.3449
S  0.6891  0.3109  0.6551
S  0.7071  0.2929  0.0000
S  0.7929  0.7929  0.5000
S  0.8109  0.8109  0.1551
S  0.8109  0.8109  0.8449

9.
The following is a DFT calculation (PBE-GGA) of a relaxed Zr2BiS2 crystal.

Results
mass density = 7.42 g cm⁻³
space group = P4/mbm
E_form (uncorrected) = -965 meV/atom
Fermi-level density of states = 1.7 states/eV/f.u.
total moment = 0.0 μB/f.u.
DFT total energy = -6.81 eV/atom

Cell lengths 7.8329, 7.8329, 3.3213 Å; angles 90.00, 90.00, 90.00 degrees
Fractional positions:
Zr  0.1426  0.3574  0.0000
Zr  0.3574  0.8574  0.0000
Zr  0.6426  0.1426  0.0000
Zr  0.8574  0.6426  0.0000
Bi  0.0000  0.0000  0.0000
Bi  0.5000  0.5000  0.0000
S  0.1319  0.6319  0.5000
S  0.3681  0.1319  0.5000
S  0.6319  0.8681  0.5000
S  0.8681  0.3681  0.5000

10.
The following is a DFT calculation (PBE-GGA) of a relaxed Bi2Sb3 crystal.

Results
mass density = 8.73 g cm⁻³
space group = I4/mmm
E_form (uncorrected) = 170 meV/atom
Fermi-level density of states = 2.3 states/eV/f.u.
total moment = 0.0 μB/f.u.
DFT total energy = -3.86 eV/atom

Cell lengths 3.9482, 3.9482, 19.1220 Å; angles 90.00, 90.00, 90.00 degrees
Fractional positions:
Bi  0.0000  0.0000  0.0907
Bi  0.0000  0.0000  0.9093
Bi  0.5000  0.5000  0.4093
Bi  0.5000  0.5000  0.5907
Sb  0.0000  0.0000  0.2847
Sb  0.0000  0.0000  0.5000
Sb  0.0000  0.0000  0.7153
Sb  0.5000  0.5000  0.0000
Sb  0.5000  0.5000  0.2153
Sb  0.5000  0.5000  0.7847

11.
The following is a DFT calculation (PBE-GGA) of a relaxed Bi2Sb3 crystal.

Results
mass density = 6.74 g cm⁻³
space group = R-3c
E_form (uncorrected) = 262 meV/atom
Fermi-level density of states = 3.2 states/eV/f.u.
total moment = 0.0 μB/f.u.
DFT total energy = -3.76 eV/atom

Cell lengths 8.8232, 8.8232, 8.8232 Å; angles 51.28, 51.28, 51.28 degrees
Fractional positions:
Bi  0.1371  0.1371  0.1371
Bi  0.3629  0.3629  0.3629
Bi  0.6371  0.6371  0.6371
Bi  0.8629  0.8629  0.8629
Sb  0.0105  0.2500  0.4895
Sb  0.2500  0.4895  0.0105
Sb  0.4895  0.0105  0.2500
Sb  0.5105  0.9895  0.7500
Sb  0.7500  0.5105  0.9895
Sb  0.9895  0.7500  0.5105

12.
The following is a DFT calculation (PBE-GGA) of a relaxed Bi3Sb2 crystal.

Results
mass density = 7.48 g cm⁻³
space group = R-3c
E_form (uncorrected) = 250 meV/atom
Fermi-level density of states = 3.9 states/eV/f.u.
total moment = 0.0 μB/f.u.
DFT total energy = -3.73 eV/atom

Cell lengths 8.3620, 8.3620, 8.3620 Å; angles 57.16, 57.16, 57.16 degrees
Fractional positions:
Bi  0.0017  0.2500  0.4983
Bi  0.2500  0.4983  0.0017
Bi  0.4983  0.0017  0.2500
Bi  0.5017  0.9983  0.7500
Bi  0.7500  0.5017  0.9983
Bi  0.9983  0.7500  0.5017
Sb  0.1332  0.1332  0.1332
Sb  0.3668  0.3668  0.3668
Sb  0.6332  0.6332  0.6332
Sb  0.8668  0.8668  0.8668

13.
The following is a DFT calculation (PBE-GGA) of a relaxed Bi4Sb crystal.

Results
mass density = 8.04 g cm⁻³
space group = Pm-3m
E_form (uncorrected) = 733 meV/atom
Fermi-level density of states = 8.5 states/eV/f.u.
total moment = 0.0 μB/f.u.
DFT total energy = -3.20 eV/atom

Cell lengths 5.8259, 5.8259, 5.8259 Å; angles 90.00, 90.00, 90.00 degrees
Fractional positions:
Bi  0.0000  0.0000  0.0000
Bi  0.0000  0.5000  0.5000
Bi  0.5000  0.0000  0.5000
Bi  0.5000  0.5000  0.0000
Sb  0.5000  0.5000  0.5000

14.
The following is a DFT calculation (PBE-GGA) of a relaxed BiSb4 crystal.

Results
mass density = 6.04 g cm⁻³
space group = Pm-3m
E_form (uncorrected) = 1025 meV/atom
Fermi-level density of states = 7.5 states/eV/f.u.
total moment = 0.0 μB/f.u.
DFT total energy = -3.05 eV/atom

Cell lengths 5.7629, 5.7629, 5.7629 Å; angles 90.00, 90.00, 90.00 degrees
Fractional positions:
Bi  0.0000  0.0000  0.0000
Sb  0.0000  0.0000  0.5000
Sb  0.0000  0.5000  0.0000
Sb  0.5000  0.0000  0.0000
Sb  0.5000  0.5000  0.5000

15.
The following is a DFT calculation (PBE-GGA) of a relaxed Bi6Sb crystal.

Results
mass density = 6.70 g cm⁻³
space group = Im-3m
E_form (uncorrected) = 537 meV/atom
Fermi-level density of states = 5.1 states/eV/f.u.
total moment = 2.3 μB/f.u.
DFT total energy = -3.38 eV/atom

Cell lengths 8.8022, 8.8022, 8.8022 Å; angles 90.00, 90.00, 90.00 degrees
Fractional positions:
Bi  0.0000  0.2500  0.5000
Bi  0.0000  0.5000  0.2500
Bi  0.0000  0.5000  0.7500
Bi  0.0000  0.7500  0.5000
Bi  0.2500  0.0000  0.5000
Bi  0.2500  0.5000  0.0000
Bi  0.5000  0.0000  0.2500
Bi  0.5000  0.0000  0.7500
Bi  0.5000  0.2500  0.0000
Bi  0.5000  0.7500  0.0000
Bi  0.7500  0.0000  0.5000
Bi  0.7500  0.5000  0.0000
Sb  0.0000  0.0000  0.0000
Sb  0.5000  0.5000  0.5000

16.
The following is a DFT calculation (PBE-GGA) of a relaxed BiSb6 crystal.

Results
mass density = 5.41 g cm⁻³
space group = Im-3m
E_form (uncorrected) = 523 meV/atom
Fermi-level density of states = 5.0 states/eV/f.u.
total moment = 0.6 μB/f.u.
DFT total energy = -3.56 eV/atom

Cell lengths 8.3261, 8.3261, 8.3261 Å; angles 90.00, 90.00, 90.00 degrees
Fractional positions:
Bi  0.0000  0.0000  0.0000
Bi  0.5000  0.5000  0.5000
Sb  0.0000  0.2500  0.5000
Sb  0.0000  0.5000  0.2500
Sb  0.0000  0.5000  0.7500
Sb  0.0000  0.7500  0.5000
Sb  0.2500  0.0000  0.5000
Sb  0.2500  0.5000  0.0000
Sb  0.5000  0.0000  0.2500
Sb  0.5000  0.0000  0.7500
Sb  0.5000  0.2500  0.0000
Sb  0.5000  0.7500  0.0000
Sb  0.7500  0.0000  0.5000
Sb  0.7500  0.5000  0.0000

17.
The following is a DFT calculation (PBE-GGA) of a relaxed Sc4BiSb crystal.

Results
mass density = 5.64 g cm⁻³
space group = C2/c
E_form (uncorrected) = -449 meV/atom
Fermi-level density of states = 8.3 states/eV/f.u.
total moment = 0.9 μB/f.u.
DFT total energy = -6.00 eV/atom

Cell lengths 7.8059, 7.8059, 6.8828 Å; angles 112.77, 112.77, 107.91 degrees
Fractional positions:
Sc  0.0366  0.6699  0.7984
Sc  0.2580  0.3820  0.7409
Sc  0.3301  0.9634  0.7016
Sc  0.3820  0.2580  0.2409
Sc  0.6180  0.7420  0.7591
Sc  0.6699  0.0366  0.2984
Sc  0.7420  0.6180  0.2591
Sc  0.9634  0.3301  0.2016
Bi  0.3440  0.6560  0.2500
Bi  0.6560  0.3440  0.7500
Sb  0.0304  0.9696  0.2500
Sb  0.9696  0.0304  0.7500

18.
The following is a DFT calculation (PBE-GGA) of a relaxed Sc4BiSb3 crystal.

Results
mass density = 6.03 g cm⁻³
space group = I4/mmm
E_form (uncorrected) = -870 meV/atom
Fermi-level density of states = 1.3 states/eV/f.u.
total moment = 0.0 μB/f.u.
DFT total energy = -6.07 eV/atom

Cell lengths 5.9198, 5.9198, 11.8552 Å; angles 90.00, 90.00, 90.00 degrees
Fractional positions:
Sc  0.0000  0.0000  0.2466
Sc  0.0000  0.0000  0.7534
Sc  0.0000  0.5000  0.0000
Sc  0.0000  0.5000  0.5000
Sc  0.5000  0.0000  0.0000
Sc  0.5000  0.0000  0.5000
Sc  0.5000  0.5000  0.2534
Sc  0.5000  0.5000  0.7466
Bi  0.0000  0.0000  0.5000
Bi  0.5000  0.5000  0.0000
Sb  0.0000  0.0000  0.0000
Sb  0.0000  0.5000  0.2500
Sb  0.0000  0.5000  0.7500
Sb  0.5000  0.0000  0.2500
Sb  0.5000  0.0000  0.7500
Sb  0.5000  0.5000  0.5000

19.
The following is a DFT calculation (PBE-GGA) of a relaxed Sc2BiSb2 crystal.

Results
mass density = 6.77 g cm⁻³
space group = I4/mmm
E_form (uncorrected) = -484 meV/atom
Fermi-level density of states = 2.4 states/eV/f.u.
total moment = 0.3 μB/f.u.
DFT total energy = -5.44 eV/atom

Cell lengths 4.1861, 4.1861, 15.1796 Å; angles 90.00, 90.00, 90.00 degrees
Fractional positions:
Sc  0.0000  0.0000  0.1049
Sc  0.0000  0.0000  0.8951
Sc  0.5000  0.5000  0.3951
Sc  0.5000  0.5000  0.6049
Bi  0.0000  0.0000  0.5000
Bi  0.5000  0.5000  0.0000
Sb  0.0000  0.5000  0.2500
Sb  0.0000  0.5000  0.7500
Sb  0.5000  0.0000  0.2500
Sb  0.5000  0.0000  0.7500

20.
The following is a DFT calculation (PBE-GGA) of a relaxed Sc5BiSb4 crystal.

Results
mass density = 5.91 g cm⁻³
space group = Immm
E_form (uncorrected) = -884 meV/atom
Fermi-level density of states = 1.9 states/eV/f.u.
total moment = 0.0 μB/f.u.
DFT total energy = -6.09 eV/atom

Cell lengths 11.0740, 11.0740, 11.0740 Å; angles 158.25, 149.02, 38.17 degrees
Fractional positions:
Sc  0.0000  0.0000  0.0000
Sc  0.1992  0.1992  0.0000
Sc  0.3966  0.3966  0.0000
Sc  0.6034  0.6034  0.0000
Sc  0.8008  0.8008  0.0000
Bi  0.5000  0.0000  0.5000
Sb  0.0998  0.5998  0.5000
Sb  0.2986  0.7986  0.5000
Sb  0.7014  0.2014  0.5000
Sb  0.9002  0.4002  0.5000